# 1
# Dy2Ni2Sn

A geometry-optimized Dy2Ni2Sn structure (PBE, the Alexandria database).

Computed properties:
* ρ: 9.30 g/cm³
* total magnetization: 0.000 Bohr magnetons per cell
* total DFT energy (no corrections): -5.55 eV per atom
* crystal system: orthorhombic
* symmetry: No. 71

Geometry as extended XYZ:
```
5
Lattice="-2.447 -0.903 3.377 -3.652 -3.927 -1.001 0.984 -4.944 2.087" Properties=species:S:1:pos:R:3 pbc="T T T"
Ni -3.535 -4.673 1.580
Ni -1.580 -5.102 2.882
Dy -1.289 -2.818 1.008
Sn 0.000 0.000 0.000
Dy -3.826 -6.956 3.455
```


# 2
# Dy6Ni2Sn

A geometry-optimized Dy6Ni2Sn structure (PBE, the Alexandria database).

Computed properties:
* ρ: 8.77 g/cm³
* total magnetization: 0.000 Bohr magnetons per cell
* total DFT energy (no corrections): -5.20 eV per atom
* crystal system: orthorhombic
* symmetry: No. 71

Geometry as extended XYZ:
```
18
Lattice="8.428 -0.014 0.033 -2.287 8.111 -0.033 -2.836 -4.227 6.717" Properties=species:S:1:pos:R:3 pbc="T T T"
Ni 0.755 0.996 0.000
Dy 1.020 3.374 1.274
Dy 2.284 0.497 5.443
Dy -2.275 4.689 1.965
Dy 0.006 2.960 4.719
Ni -0.599 0.455 5.711
Dy 6.343 1.567 0.193
Ni 5.386 7.102 0.000
Sn -2.562 1.942 3.342
Dy 0.138 -2.334 5.443
Dy 5.579 -0.818 4.752
Ni 3.904 3.417 1.007
Dy 3.351 3.836 4.097
Dy 3.167 6.205 1.274
Sn 2.796 -2.120 3.375
Dy 3.299 0.912 1.999
Dy -0.046 0.035 2.620
Dy -3.039 2.304 6.524
```


# 3
# DyNi4Sn

A geometry-optimized DyNi4Sn structure (PBE, the Alexandria database).

Computed properties:
* ρ: 9.74 g/cm³
* total magnetization: 0.000 Bohr magnetons per cell
* total DFT energy (no corrections): -5.67 eV per atom
* crystal system: cubic
* symmetry: No. 216

Geometry as extended XYZ:
```
6
Lattice="-1.425 -0.314 4.774 -0.195 -4.447 2.260 3.336 -1.154 3.530" Properties=species:S:1:pos:R:3 pbc="T T T"
Ni 1.073 -3.700 6.607
Ni 1.171 -1.468 5.473
Ni 1.788 -3.542 4.212
Sn 0.000 0.000 0.000
Dy 0.429 -1.479 2.641
Ni -0.600 -3.121 4.836
```


# 4
# Dy2NiSn3

A geometry-optimized Dy2NiSn3 structure (PBE, the Alexandria database).

Computed properties:
* ρ: 8.72 g/cm³
* total magnetization: 0.000 Bohr magnetons per cell
* total DFT energy (no corrections): -5.06 eV per atom
* crystal system: monoclinic
* symmetry: No. 8

Geometry as extended XYZ:
```
6
Lattice="-4.107 0.565 -1.876 -3.800 -4.372 1.483 -3.994 2.419 3.955" Properties=species:S:1:pos:R:3 pbc="T T T"
Dy -6.175 -2.618 1.694
Sn -7.240 -1.037 4.501
Dy -5.800 1.254 2.040
Ni -3.243 -0.928 1.301
Sn -8.420 -0.520 1.721
Sn -4.824 -0.311 -0.570
```


no.,energy of formation (eV/atom)
1,-0.59
2,-0.41
3,-0.38
4,-0.56